Below is a relaxed BeOsSeN2 crystal, with properties calculated at the PBE level.

Calculated values
E above lowest polymorph (eV per atom): 0.0000
Uncorrected formation energy (kJ per mole of atoms): 71.17

a b c (Å): 3.735 3.735 5.523
angles (deg): 90.00 90.00 90.00
Space group P4/mmm (No. 123)
One atom of each set of equivalent atoms:
Be 0.000 0.000 0.000 (multiplicity 1)
Os 0.500 0.500 0.500 (multiplicity 1)
Se 0.500 0.500 0.000 (multiplicity 1)
N 0.000 0.500 0.500 (multiplicity 2)

=====

Below is a relaxed ZnCdRe2 crystal, with properties calculated at the PBE level.

Calculated values
E above lowest polymorph (eV per atom): 0.3931
ΔE_f (eV per formula unit): 2.2

a b c (Å): 3.226 4.639 8.645
angles (deg): 90.00 90.00 90.00
Space group Imm2 (No. 44)
One atom of each set of equivalent atoms:
Zn 0.000 0.000 0.000 (multiplicity 2)
Cd 0.000 0.500 0.245 (multiplicity 2)
Re 0.000 0.000 0.473 (multiplicity 2)
Re 0.000 0.500 0.750 (multiplicity 2)

=====

Below is a relaxed Pm3AgPt8 crystal, with properties calculated at the PBE level.

Calculated values
ΔE_f (eV per formula unit): -11.1

a b c (Å): 5.4556 5.4556 26.7321
angles (deg): 90.00 90.00 120.00
Space group R3m (No. 160, hexagonal axes)
One atom of each set of equivalent atoms:
Pm 0.0000 0.0000 0.0000 (multiplicity 3)
Pm 0.0000 0.0000 0.1296 (multiplicity 3)
Pm 0.0000 0.0000 0.5170 (multiplicity 3)
Ag 0.0000 0.0000 0.6367 (multiplicity 3)
Pt 0.0000 0.0000 0.3190 (multiplicity 3)
Pt 0.0000 0.0000 0.8193 (multiplicity 3)
Pt 0.9999 0.5000 0.0697 (multiplicity 9)
Pt 0.1681 0.3361 0.9022 (multiplicity 9)

=====

Quick rundown of total magnetic moment, same order as above: 0.1, 0.0, 0.0 μB per cell